VASP calculation (GGA-PBE) on NbAs3F after structural relaxation.

Calculated values
The calculation puts the calculated volume at 17.857 Å³/atom. Its total energy is -4.92 eV/atom. Its raw formation energy is 255 meV per atom. Its relative energy among the computed polymorphs is 123.4 kJ/mol of formula units. The total moment is 1.28 μB per formula unit.

Geometry as CIF:
```
data_NbAs3F
_space_group_name_H-M_alt 'P m -3 m'
_space_group_IT_number 221
_space_group_name_Hall '-P 4 2 3'
_cell_length_a 4.4695
_cell_length_b 4.4695
_cell_length_c 4.4695
_cell_angle_alpha 90.00
_cell_angle_beta 90.00
_cell_angle_gamma 90.00
loop_
_atom_site_label
_atom_site_type_symbol
_atom_site_fract_x
_atom_site_fract_y
_atom_site_fract_z
Nb1 Nb 0.0000 0.0000 0.0000
As1 As 0.0000 0.5000 0.5000
F1 F 0.5000 0.5000 0.5000
```